(1)
Y2S3O12 | GGA-PBEsol | relaxed

The structure in POSCAR format:
```
Y2S3O12
1.0
9.223 0.000 0.000
0.000 9.300 0.000
0.000 0.000 12.863
O Y S
48 8 12
Direct
0.449 0.092 0.146
0.942 0.168 0.927
0.058 0.668 0.927
0.558 0.832 0.427
0.166 0.072 0.458
0.942 0.332 0.073
0.949 0.092 0.354
0.442 0.168 0.573
0.166 0.428 0.542
0.051 0.908 0.646
0.949 0.408 0.646
0.874 0.651 0.060
0.126 0.151 0.060
0.874 0.849 0.940
0.834 0.928 0.542
0.626 0.349 0.560
0.174 0.484 0.724
0.674 0.016 0.224
0.642 0.262 0.169
0.449 0.408 0.854
0.142 0.238 0.669
0.826 0.516 0.276
0.051 0.592 0.354
0.666 0.072 0.042
0.626 0.151 0.440
0.374 0.651 0.440
0.558 0.668 0.573
0.826 0.984 0.724
0.326 0.516 0.224
0.442 0.332 0.427
0.642 0.238 0.831
0.858 0.762 0.331
0.334 0.572 0.042
0.358 0.738 0.831
0.174 0.016 0.276
0.551 0.592 0.146
0.674 0.484 0.776
0.326 0.984 0.776
0.058 0.832 0.073
0.834 0.572 0.458
0.358 0.762 0.169
0.551 0.908 0.854
0.374 0.849 0.560
0.126 0.349 0.940
0.666 0.428 0.958
0.142 0.262 0.331
0.334 0.928 0.958
0.858 0.738 0.669
0.750 0.536 0.617
0.750 0.036 0.883
0.250 0.036 0.617
0.750 0.964 0.383
0.250 0.464 0.383
0.750 0.464 0.117
0.250 0.964 0.117
0.250 0.536 0.883
0.108 0.111 0.355
0.392 0.611 0.145
0.967 0.750 0.000
0.608 0.389 0.855
0.108 0.389 0.645
0.533 0.250 0.500
0.467 0.750 0.500
0.608 0.111 0.145
0.392 0.889 0.855
0.892 0.889 0.645
0.033 0.250 0.000
0.892 0.611 0.355
```

Symmetry   Pbcn, No. 60

(2)
KCo2Si | GGA-PBEsol | relaxed

The structure in POSCAR format:
```
KCo2Si
1.0
-0.696 -2.717 -0.274
4.228 -1.039 -0.431
0.315 -0.518 4.333
K Co Si
1 2 1
Direct
0.500 0.500 0.500
0.000 0.500 0.000
0.000 0.000 0.500
0.500 0.000 0.000
```

Symmetry   P4/mmm, No. 123

| no. | ΔE_f (raw) (eV per formula unit) | E (eV per atom) |
| --- | --- | --- |
| 1 | -37.5 | -7.488 |
| 2 | 3.8 | -4.633 |